# PBE-GGA Ce5AgSn4, optimized geometry
data_Ce5AgSn4
_symmetry_space_group_name_H-M 'P 1'
_symmetry_Int_Tables_number 1
_cell_length_a 4.144
_cell_length_b 4.144
_cell_length_c 15.800
_cell_angle_alpha 90.00
_cell_angle_beta 90.00
_cell_angle_gamma 90.00
loop_
_symmetry_equiv_pos_as_xyz
'x,y,z'
loop_
_atom_site_label
_atom_site_fract_x
_atom_site_fract_y
_atom_site_fract_z
_atom_site_occupancy
Ce1 0.000 0.000 0.000 1
Ce2 0.000 0.000 0.205 1
Ce3 0.000 0.000 0.397 1
Ce4 0.000 0.000 0.603 1
Ce5 0.000 0.000 0.795 1
Ag1 0.500 0.500 0.500 1
Sn1 0.500 0.500 0.103 1
Sn2 0.500 0.500 0.304 1
Sn3 0.500 0.500 0.696 1
Sn4 0.500 0.500 0.897 1
# DFT formation energy in meV per atom: -490
# Spin magnetization in Bohr magnetons per cell: 4.79

***

# PBE-GGA Ce2Ag3Sn4, optimized geometry
data_Ce2Ag3Sn4
_symmetry_space_group_name_H-M 'P 1'
_symmetry_Int_Tables_number 1
_cell_length_a 8.720
_cell_length_b 8.720
_cell_length_c 8.427
_cell_angle_alpha 90.00
_cell_angle_beta 90.00
_cell_angle_gamma 137.06
loop_
_symmetry_equiv_pos_as_xyz
'x,y,z'
loop_
_atom_site_label
_atom_site_fract_x
_atom_site_fract_y
_atom_site_fract_z
_atom_site_occupancy
Ce1 0.111 0.889 0.914 1
Ce2 0.389 0.611 0.414 1
Ce3 0.611 0.389 0.586 1
Ce4 0.889 0.111 0.086 1
Ag1 0.000 0.000 0.500 1
Ag2 0.025 0.475 0.750 1
Ag3 0.475 0.025 0.250 1
Ag4 0.500 0.500 0.000 1
Ag5 0.525 0.975 0.750 1
Ag6 0.975 0.525 0.250 1
Sn1 0.178 0.822 0.532 1
Sn2 0.198 0.302 0.750 1
Sn3 0.302 0.198 0.250 1
Sn4 0.322 0.678 0.032 1
Sn5 0.678 0.322 0.968 1
Sn6 0.698 0.802 0.750 1
Sn7 0.802 0.698 0.250 1
Sn8 0.822 0.178 0.468 1
# DFT formation energy in meV per atom: -345
# Spin magnetization in Bohr magnetons per cell: 3.87

***

# PBE-GGA Ce2AgSn, optimized geometry
data_Ce2AgSn
_symmetry_space_group_name_H-M 'P 1'
_symmetry_Int_Tables_number 1
_cell_length_a 5.978
_cell_length_b 5.978
_cell_length_c 5.978
_cell_angle_alpha 136.58
_cell_angle_beta 135.66
_cell_angle_gamma 63.80
loop_
_symmetry_equiv_pos_as_xyz
'x,y,z'
loop_
_atom_site_label
_atom_site_fract_x
_atom_site_fract_y
_atom_site_fract_z
_atom_site_occupancy
Ce1 0.000 0.000 0.000 1
Ce2 0.689 0.189 0.500 1
Ag1 0.243 0.743 0.500 1
Sn1 0.436 0.436 0.000 1
# DFT formation energy in meV per atom: -341
# Spin magnetization in Bohr magnetons per cell: 1.84

***

# PBE-GGA Ce2AgSn2, optimized geometry
data_Ce2AgSn2
_symmetry_space_group_name_H-M 'P 1'
_symmetry_Int_Tables_number 1
_cell_length_a 7.701
_cell_length_b 7.701
_cell_length_c 4.575
_cell_angle_alpha 90.00
_cell_angle_beta 90.00
_cell_angle_gamma 90.00
loop_
_symmetry_equiv_pos_as_xyz
'x,y,z'
loop_
_atom_site_label
_atom_site_fract_x
_atom_site_fract_y
_atom_site_fract_z
_atom_site_occupancy
Ce1 0.127 0.373 0.000 1
Ce2 0.373 0.873 0.000 1
Ce3 0.627 0.127 0.000 1
Ce4 0.873 0.627 0.000 1
Ag1 0.000 0.000 0.500 1
Ag2 0.500 0.500 0.500 1
Sn1 0.169 0.669 0.500 1
Sn2 0.331 0.169 0.500 1
Sn3 0.669 0.831 0.500 1
Sn4 0.831 0.331 0.500 1
# DFT formation energy in meV per atom: -406
# Spin magnetization in Bohr magnetons per cell: 2.79